This record from Alexandria describes crystalline HfNiSn2 at its relaxed geometry. The functional is PBE.

a = 4.8361 Å, b = 4.8361 Å, c = 4.8361 Å
α = 60.00°, β = 60.00°, γ = 60.00°
Last column: nearest neighbours and their distance in Å.
Element x y z (fractional)
Hf1 0.0000 0.0000 0.0000  8 Sn 2.96
Ni1 0.5000 0.5000 0.5000  8 Sn 2.96
Sn1 0.2500 0.2500 0.2500  4 Hf 2.96, 4 Ni 2.96
Sn2 0.7500 0.7500 0.7500  4 Hf 2.96, 4 Ni 2.96

Computed properties:
Energy of formation from the pure elements: 0.120 eV per atom


This record from Alexandria describes crystalline U2TlS6 at its relaxed geometry. The functional is PBE.

a = 5.2491 Å, b = 5.2491 Å, c = 8.3340 Å
α = 96.61°, β = 96.61°, γ = 98.88°
Last column: nearest neighbours and their distance in Å.
Element x y z (fractional)
U1 0.2497 0.7503 0.0000  8 S 2.80-2.84
U2 0.7503 0.2497 0.0000  8 S 2.80-2.84
Tl1 0.0000 0.0000 0.5000  6 S 3.26-3.36
S1 0.1721 0.4384 0.2518  1 S 2.12
S2 0.2244 0.2244 0.8797  4 U 2.80, 2 S 3.12
S3 0.4384 0.1721 0.2518  1 S 2.12
S4 0.5616 0.8279 0.7482  1 S 2.12
S5 0.7756 0.7756 0.1203  4 U 2.80, 2 S 3.12
S6 0.8279 0.5616 0.7482  1 S 2.12

Computed properties:
Formation energy without anion corrections: -905 meV per atom
Excess energy over the best structure of this formula in the dataset: 35 meV/atom


This record from Alexandria describes crystalline Na2PaIr3O12 at its relaxed geometry. The functional is PBE.

a = 7.6020 Å, b = 7.6020 Å, c = 7.6020 Å
α = 57.03°, β = 57.03°, γ = 57.03°
Last column: nearest neighbours and their distance in Å.
Element x y z (fractional)
Na1 0.1968 0.1968 0.1968  3 O 2.46
Na2 0.8032 0.8032 0.8032  3 O 2.46
Pa1 0.5000 0.5000 0.5000  6 O 2.18
Ir1 0.0000 0.5000 0.5000  6 O 1.91-1.98
Ir2 0.5000 0.0000 0.5000  6 O 1.91-1.98
Ir3 0.5000 0.5000 0.0000  6 O 1.91-1.98
O1 0.1480 0.5806 0.5806  1 Ir 1.98, 1 Pa 2.18
O2 0.1947 0.1947 0.5770  2 Ir 1.91
O3 0.1947 0.5770 0.1947  2 Ir 1.91
O4 0.4194 0.4194 0.8520  1 Ir 1.98, 1 Pa 2.18
O5 0.4194 0.8520 0.4194  1 Ir 1.98, 1 Pa 2.18
O6 0.4230 0.8053 0.8053  2 Ir 1.91
O7 0.5770 0.1947 0.1947  2 Ir 1.91
O8 0.5806 0.1480 0.5806  1 Ir 1.98, 1 Pa 2.18
O9 0.5806 0.5806 0.1480  1 Ir 1.98, 1 Pa 2.18
O10 0.8053 0.4230 0.8053  2 Ir 1.91
O11 0.8053 0.8053 0.4230  2 Ir 1.91
O12 0.8520 0.4194 0.4194  1 Ir 1.98, 1 Pa 2.18

Computed properties:
Formation energy without anion corrections: -1350 meV per atom


This record from Alexandria describes crystalline Al2Te6As at its relaxed geometry. The functional is PBE.

a = 8.9770 Å, b = 8.9770 Å, c = 7.6484 Å
α = 102.48°, β = 102.48°, γ = 87.08°
Last column: nearest neighbours and their distance in Å.
Element x y z (fractional)
Al1 0.0993 0.2735 0.3244  4 Te 2.60-2.71
Al2 0.2735 0.0993 0.8244  4 Te 2.60-2.71
Al3 0.7265 0.9007 0.1756  4 Te 2.60-2.71
Al4 0.9007 0.7265 0.6756  4 Te 2.60-2.71
Te1 0.0170 0.1663 0.5931  2 Al 2.70-2.71, 1 Te 3.02
Te2 0.1123 0.5464 0.8093  1 Al 2.61, 1 As 2.85
Te3 0.1663 0.0170 0.0931  2 Al 2.70-2.71, 1 Te 3.02
Te4 0.2955 0.4866 0.3594  1 Al 2.60, 1 As 2.90
Te5 0.4536 0.8877 0.6907  1 Al 2.61, 1 As 2.85
Te6 0.4866 0.2955 0.8594  1 Al 2.60, 1 As 2.90
Te7 0.5134 0.7045 0.1406  1 Al 2.60, 1 As 2.90
Te8 0.5464 0.1123 0.3093  1 Al 2.61, 1 As 2.85
Te9 0.7045 0.5134 0.6406  1 Al 2.60, 1 As 2.90
Te10 0.8337 0.9830 0.9069  2 Al 2.70-2.71, 1 Te 3.02
Te11 0.8877 0.4536 0.1907  1 Al 2.61, 1 As 2.85
Te12 0.9830 0.8337 0.4069  2 Al 2.70-2.71, 1 Te 3.02
As1 0.4082 0.5918 0.7500  6 Te 2.85-2.96
As2 0.5918 0.4082 0.2500  6 Te 2.85-2.96

Computed properties:
Formation energy without anion corrections: -114 meV per atom


This record from Alexandria describes crystalline B2C3 at its relaxed geometry. The functional is PBE.

a = 6.6779 Å, b = 6.6779 Å, c = 4.1131 Å
α = 105.89°, β = 105.89°, γ = 21.90°
Last column: nearest neighbours and their distance in Å.
Element x y z (fractional)
B1 0.0666 0.0666 0.2396  3 C 1.58-1.60
B2 0.2460 0.2460 0.3306  2 C 1.64-1.66
B3 0.7540 0.7540 0.6694  2 C 1.64-1.66
B4 0.9334 0.9334 0.7604  3 C 1.58-1.60
C1 0.1405 0.1405 0.9956  2 C 1.53, 2 B 1.58-1.66
C2 0.3546 0.3546 0.2077  3 C 1.53-1.57, 1 B 1.64
C3 0.4484 0.4484 0.5433  2 C 1.49-1.57, 2 B 1.60
C4 0.5516 0.5516 0.4567  2 C 1.49-1.57, 2 B 1.60
C5 0.6454 0.6454 0.7923  3 C 1.53-1.57, 1 B 1.64
C6 0.8595 0.8595 0.0044  2 C 1.53, 2 B 1.58-1.66

Computed properties:
Energy of formation from the pure elements: 0.301 eV per atom
Excess energy over the best structure of this formula in the dataset: 65 meV/atom


This record from Alexandria describes crystalline CaTc2Mo at its relaxed geometry. The functional is PBE.

a = 4.5483 Å, b = 4.5483 Å, c = 4.5483 Å
α = 60.00°, β = 60.00°, γ = 60.00°
Last column: nearest neighbours and their distance in Å.
Element x y z (fractional)
Ca1 0.0000 0.0000 0.0000  4 Tc 2.79, 4 Mo 2.79
Tc1 0.2500 0.2500 0.2500  4 Tc 2.79, 4 Ca 2.79
Tc2 0.5000 0.5000 0.5000  4 Mo 2.79, 4 Tc 2.79
Mo1 0.7500 0.7500 0.7500  4 Tc 2.79, 4 Ca 2.79

Computed properties:
Energy of formation from the pure elements: 0.604 eV per atom
Excess energy over the best structure of this formula in the dataset: 280 meV/atom


Number 1: VASP energy -23.3 eV per cell. Number 2: VASP energy -57.9 eV per cell. Number 3: VASP energy -122.5 eV per cell. Number 4: VASP energy -64.0 eV per cell. Number 5: VASP energy -79.0 eV per cell. Number 6: VASP energy -31.1 eV per cell.